Density functional theory data (GGA-PBE) for a relaxed Mn2NiPt6 crystal.

Output
total moment: 8.83 μB/f.u.
space group: Fmmm (69)
DFT formation energy: -0.283 eV/atom
total DFT energy (no corrections): -6.99 eV/atom

Cell lengths 3.9274, 6.0705, 6.1925 Å; angles 84.11, 71.51, 71.13 degrees
Closest atoms and distances in Å follow each position.
Element x y z (fractional)
Mn1 0.3407 0.5000 0.8186  8 Pt 2.63-2.72, 2 Ni 2.71, 2 Mn 2.90
Mn2 0.6593 0.5000 0.1814  8 Pt 2.63-2.72, 2 Ni 2.71, 2 Mn 2.90
Ni1 0.0000 0.5000 0.5000  8 Pt 2.67-2.69, 4 Mn 2.71
Pt1 0.9900 0.1853 0.8347  1 Ni 2.67, 3 Mn 2.67-2.72, 8 Pt 2.76-2.90
Pt2 0.3247 0.1853 0.1653  1 Ni 2.67, 3 Mn 2.67-2.72, 8 Pt 2.76-2.90
Pt3 0.6753 0.8147 0.8347  1 Ni 2.67, 3 Mn 2.67-2.72, 8 Pt 2.76-2.90
Pt4 0.3394 0.8213 0.5000  2 Mn 2.63, 2 Ni 2.69, 8 Pt 2.78-2.87
Pt5 0.6606 0.1787 0.5000  2 Mn 2.63, 2 Ni 2.69, 8 Pt 2.78-2.87
Pt6 0.0100 0.8147 0.1653  1 Ni 2.67, 3 Mn 2.67-2.72, 8 Pt 2.76-2.90